(1)
Entry from Alexandria via LeMat-Bulk: K2NaPu2O7 after structural relaxation (PBE).

CIF file:
```
data_K2NaPu2O7
_chemical_formula_sum 'K2 Na1 Pu2 O7'
_cell_length_a 11.344
_cell_length_b 11.344
_cell_length_c 11.344
_cell_angle_alpha 158.32
_cell_angle_beta 158.32
_cell_angle_gamma 30.85
_space_group_name_H-M_alt 'P 1'
_space_group_IT_number 1
_space_group_name_Hall 'P 1'
loop_
_atom_site_label
_atom_site_type_symbol
_atom_site_fract_x
_atom_site_fract_y
_atom_site_fract_z
K1 K 0.190 0.190 0.000
K2 K 0.810 0.810 0.000
Na1 Na 0.000 0.000 0.000
Pu1 Pu 0.405 0.405 0.000
Pu2 Pu 0.595 0.595 0.000
O1 O 0.092 0.592 0.500
O2 O 0.315 0.315 0.000
O3 O 0.408 0.908 0.500
O4 O 0.500 0.500 0.000
O5 O 0.592 0.092 0.500
O6 O 0.685 0.685 0.000
O7 O 0.908 0.408 0.500
```

Values from the calculation:
- total energy (eV per formula unit) = -95.46
- formation energy (no corrections) (meV per atom) = -2381
- crystal system = tetragonal
- total moment (μB/cell) = 5.000



(2)
Entry from Alexandria via LeMat-Bulk: K2NaPuO4 after structural relaxation (PBE).

CIF file:
```
data_K2NaPuO4
_chemical_formula_sum 'K2 Na1 Pu1 O4'
_cell_length_a 6.003
_cell_length_b 3.522
_cell_length_c 6.493
_cell_angle_alpha 90.00
_cell_angle_beta 108.10
_cell_angle_gamma 90.00
_space_group_name_H-M_alt 'P 1'
_space_group_IT_number 1
_space_group_name_Hall 'P 1'
loop_
_atom_site_label
_atom_site_type_symbol
_atom_site_fract_x
_atom_site_fract_y
_atom_site_fract_z
K1 K 0.000 0.000 0.000
K2 K 0.500 0.500 0.000
Na1 Na 0.000 0.500 0.500
Pu1 Pu 0.500 0.000 0.500
O1 O 0.289 0.000 0.685
O2 O 0.291 0.500 0.307
O3 O 0.709 0.500 0.693
O4 O 0.711 0.000 0.315
```

Values from the calculation:
- total energy (eV per formula unit) = -54.96
- formation energy (no corrections) (meV per atom) = -2161
- crystal system = monoclinic
- total moment (μB/cell) = 3.000



(3)
Entry from Alexandria via LeMat-Bulk: K3Na2PuO6 after structural relaxation (PBE).

CIF file:
```
data_K3Na2PuO6
_chemical_formula_sum 'K3 Na2 Pu1 O6'
_cell_length_a 6.047
_cell_length_b 6.047
_cell_length_c 6.393
_cell_angle_alpha 99.06
_cell_angle_beta 99.06
_cell_angle_gamma 119.75
_space_group_name_H-M_alt 'P 1'
_space_group_IT_number 1
_space_group_name_Hall 'P 1'
loop_
_atom_site_label
_atom_site_type_symbol
_atom_site_fract_x
_atom_site_fract_y
_atom_site_fract_z
K1 K 0.000 0.000 0.000
K2 K 0.323 0.677 0.000
K3 K 0.677 0.323 0.000
Na1 Na 0.166 0.834 0.500
Na2 Na 0.834 0.166 0.500
Pu1 Pu 0.500 0.500 0.500
O1 O 0.159 0.436 0.308
O2 O 0.292 0.292 0.695
O3 O 0.436 0.159 0.308
O4 O 0.564 0.841 0.692
O5 O 0.708 0.708 0.305
O6 O 0.841 0.564 0.692
```

Values from the calculation:
- total energy (eV per formula unit) = -73.80
- formation energy (no corrections) (meV per atom) = -1982
- crystal system = monoclinic
- total moment (μB/cell) = 1.000



(4)
Entry from Alexandria via LeMat-Bulk: KRbNaO2 after structural relaxation (PBE).

CIF file:
```
data_KRbNaO2
_chemical_formula_sum 'K1 Rb1 Na1 O2'
_cell_length_a 4.657
_cell_length_b 4.657
_cell_length_c 4.664
_cell_angle_alpha 90.00
_cell_angle_beta 90.00
_cell_angle_gamma 90.00
_space_group_name_H-M_alt 'P 1'
_space_group_IT_number 1
_space_group_name_Hall 'P 1'
loop_
_atom_site_label
_atom_site_type_symbol
_atom_site_fract_x
_atom_site_fract_y
_atom_site_fract_z
K1 K 0.000 0.000 0.000
Rb1 Rb 0.500 0.500 0.000
Na1 Na 0.000 0.000 0.500
O1 O 0.000 0.500 0.500
O2 O 0.500 0.000 0.500
```

Values from the calculation:
- total energy (eV per formula unit) = -15.67
- formation energy (no corrections) (meV per atom) = -473
- crystal system = tetragonal
- total moment (μB/cell) = 1.000



(5)
Entry from Alexandria via LeMat-Bulk: K5Rb2NaO after structural relaxation (PBE).

CIF file:
```
data_K5Rb2NaO
_chemical_formula_sum 'K5 Rb2 Na1 O1'
_cell_length_a 9.385
_cell_length_b 9.385
_cell_length_c 9.385
_cell_angle_alpha 124.41
_cell_angle_beta 124.41
_cell_angle_gamma 82.52
_space_group_name_H-M_alt 'P 1'
_space_group_IT_number 1
_space_group_name_Hall 'P 1'
loop_
_atom_site_label
_atom_site_type_symbol
_atom_site_fract_x
_atom_site_fract_y
_atom_site_fract_z
K1 K 0.000 0.000 0.000
K2 K 0.412 0.412 0.441
K3 K 0.412 0.971 0.000
K4 K 0.971 0.412 0.000
K5 K 0.971 0.971 0.559
Rb1 Rb 0.438 0.938 0.500
Rb2 Rb 0.938 0.438 0.500
Na1 Na 0.353 0.353 0.000
O1 O 0.190 0.190 0.000
```

Values from the calculation:
- total energy (eV per formula unit) = -16.50
- formation energy (no corrections) (meV per atom) = -311
- crystal system = tetragonal
- total moment (μB/cell) = 0.000



(6)
Entry from Alexandria via LeMat-Bulk: KRb6Na2O after structural relaxation (PBE).

CIF file:
```
data_KRb6Na2O
_chemical_formula_sum 'K1 Rb6 Na2 O1'
_cell_length_a 8.553
_cell_length_b 8.766
_cell_length_c 9.981
_cell_angle_alpha 74.33
_cell_angle_beta 66.75
_cell_angle_gamma 61.35
_space_group_name_H-M_alt 'P 1'
_space_group_IT_number 1
_space_group_name_Hall 'P 1'
loop_
_atom_site_label
_atom_site_type_symbol
_atom_site_fract_x
_atom_site_fract_y
_atom_site_fract_z
K1 K 0.000 0.000 0.000
Rb1 Rb 0.195 0.436 0.708
Rb2 Rb 0.300 0.857 0.542
Rb3 Rb 0.366 0.561 0.267
Rb4 Rb 0.634 0.439 0.733
Rb5 Rb 0.700 0.143 0.458
Rb6 Rb 0.805 0.564 0.292
Na1 Na 0.350 0.144 0.133
Na2 Na 0.650 0.856 0.867
O1 O 0.500 0.500 0.500
```

Values from the calculation:
- total energy (eV per formula unit) = -17.24
- formation energy (no corrections) (meV per atom) = -274
- crystal system = triclinic
- total moment (μB/cell) = 0.000



(7)
Entry from Alexandria via LeMat-Bulk: K2Rb4Na2O after structural relaxation (PBE).

CIF file:
```
data_K2Rb4Na2O
_chemical_formula_sum 'K2 Rb4 Na2 O1'
_cell_length_a 8.672
_cell_length_b 8.672
_cell_length_c 7.546
_cell_angle_alpha 92.77
_cell_angle_beta 92.77
_cell_angle_gamma 60.23
_space_group_name_H-M_alt 'P 1'
_space_group_IT_number 1
_space_group_name_Hall 'P 1'
loop_
_atom_site_label
_atom_site_type_symbol
_atom_site_fract_x
_atom_site_fract_y
_atom_site_fract_z
K1 K 0.144 0.144 0.218
K2 K 0.856 0.856 0.782
Rb1 Rb 0.151 0.689 0.201
Rb2 Rb 0.311 0.849 0.799
Rb3 Rb 0.689 0.151 0.201
Rb4 Rb 0.849 0.311 0.799
Na1 Na 0.329 0.329 0.682
Na2 Na 0.671 0.671 0.318
O1 O 0.000 0.000 0.000
```

Values from the calculation:
- total energy (eV per formula unit) = -16.57
- formation energy (no corrections) (meV per atom) = -323
- crystal system = monoclinic
- total moment (μB/cell) = 0.000



(8)
Entry from Alexandria via LeMat-Bulk: KNaRe2O8 after structural relaxation (PBE).

CIF file:
```
data_KNaRe2O8
_chemical_formula_sum 'K1 Na1 Re2 O8'
_cell_length_a 6.311
_cell_length_b 6.311
_cell_length_c 6.951
_cell_angle_alpha 108.25
_cell_angle_beta 108.25
_cell_angle_gamma 58.45
_space_group_name_H-M_alt 'P 1'
_space_group_IT_number 1
_space_group_name_Hall 'P 1'
loop_
_atom_site_label
_atom_site_type_symbol
_atom_site_fract_x
_atom_site_fract_y
_atom_site_fract_z
K1 K 0.000 0.000 0.000
Na1 Na 0.500 0.500 0.500
Re1 Re 0.206 0.206 0.669
Re2 Re 0.794 0.794 0.331
O1 O 0.087 0.625 0.249
O2 O 0.150 0.150 0.399
O3 O 0.375 0.913 0.751
O4 O 0.376 0.376 0.763
O5 O 0.624 0.624 0.237
O6 O 0.625 0.087 0.249
O7 O 0.850 0.850 0.601
O8 O 0.913 0.375 0.751
```

Values from the calculation:
- total energy (eV per formula unit) = -88.74
- formation energy (no corrections) (meV per atom) = -1813
- crystal system = monoclinic
- total moment (μB/cell) = 0.000



(9)
Entry from Alexandria via LeMat-Bulk: K2Na2ReO6 after structural relaxation (PBE).

CIF file:
```
data_K2Na2ReO6
_chemical_formula_sum 'K2 Na2 Re1 O6'
_cell_length_a 5.757
_cell_length_b 5.757
_cell_length_c 6.458
_cell_angle_alpha 100.69
_cell_angle_beta 100.69
_cell_angle_gamma 116.65
_space_group_name_H-M_alt 'P 1'
_space_group_IT_number 1
_space_group_name_Hall 'P 1'
loop_
_atom_site_label
_atom_site_type_symbol
_atom_site_fract_x
_atom_site_fract_y
_atom_site_fract_z
K1 K 0.181 0.819 0.000
K2 K 0.819 0.181 0.000
Na1 Na 0.343 0.657 0.500
Na2 Na 0.657 0.343 0.500
Re1 Re 0.000 0.000 0.500
O1 O 0.056 0.333 0.683
O2 O 0.194 0.194 0.324
O3 O 0.333 0.056 0.683
O4 O 0.667 0.944 0.317
O5 O 0.806 0.806 0.676
O6 O 0.944 0.667 0.317
```

Values from the calculation:
- total energy (eV per formula unit) = -64.16
- formation energy (no corrections) (meV per atom) = -1558
- crystal system = monoclinic
- total moment (μB/cell) = 1.078



(10)
Entry from Alexandria via LeMat-Bulk: KNaReO2 after structural relaxation (PBE).

CIF file:
```
data_KNaReO2
_chemical_formula_sum 'K1 Na1 Re1 O2'
_cell_length_a 4.665
_cell_length_b 4.665
_cell_length_c 5.212
_cell_angle_alpha 90.00
_cell_angle_beta 90.00
_cell_angle_gamma 90.00
_space_group_name_H-M_alt 'P 1'
_space_group_IT_number 1
_space_group_name_Hall 'P 1'
loop_
_atom_site_label
_atom_site_type_symbol
_atom_site_fract_x
_atom_site_fract_y
_atom_site_fract_z
K1 K 0.000 0.000 0.000
Na1 Na 0.500 0.500 0.500
Re1 Re 0.500 0.500 0.000
O1 O 0.000 0.500 0.500
O2 O 0.500 0.000 0.500
```

Values from the calculation:
- total energy (eV per formula unit) = -18.64
- formation energy (no corrections) (meV per atom) = 1228
- crystal system = tetragonal
- total moment (μB/cell) = 7.000